DFT (PBE with a Hubbard U) results for a geometry-optimized Ac2CdCoO6 structure.

abc: 5.622 5.622 4.733
angles: 90.00 90.00 90.00
Space group P4mm (No. 99)
Inequivalent atoms, fractional coordinates:
Ac 0.000 0.500 0.000 [2 per cell]
Cd 0.000 0.000 0.540 [1 per cell]
Co 0.500 0.500 0.567 [1 per cell]
O 0.000 0.000 0.080 [1 per cell]
O 0.272 0.272 0.673 [4 per cell]
O 0.500 0.500 0.182 [1 per cell]

Values from the calculation:
**Total moment**: 2.997 μB per formula unit
**Volume**: 149.6 Å³/f.u.
**Total DFT energy (no corrections)**: -64.59 eV/cell